Entry 1:
Below is a geometry-optimized FeSe3S structure, with properties calculated at the GGA-PBEsol level.

Results
**Final energy**: -22.4 eV for the cell shown
**Energy relative to the elements, uncorrected**: 0.506 eV per atom

Cell: 4.568 4.568 4.568 Å, 90.00 90.00 90.00°
Each line ends with the local moment (μB).
Element x y z (fractional)
Se 0.000 0.500 0.000  0.12
S 0.500 0.500 0.500  -0.16
Se 0.000 0.000 0.500  0.12
Se 0.500 0.000 0.000  0.12
Fe 0.000 0.000 0.000  1.76



Entry 2:
Below is a geometry-optimized Fe3POs structure, with properties calculated at the GGA-PBEsol level.

Results
**DFT formation energy**: 0.7197 eV per atom
**Final energy**: -41.3 eV for the cell shown

Cell: 4.025 4.025 4.025 Å, 90.00 90.00 90.00°
Each line ends with the local moment (μB).
Element x y z (fractional)
Fe 0.000 0.500 0.000  1.84
P 0.000 0.000 0.000  -0.07
Fe 0.500 0.000 0.000  1.84
Os 0.500 0.500 0.500  0.91
Fe 0.000 0.000 0.500  1.84



Entry 3:
Below is a geometry-optimized BaLaCl5 structure, with properties calculated at the GGA-PBEsol level.

Results
**Final energy**: -137.6 eV for the cell shown
**Energy above the lowest structure with this stoichiometry**: 0.0 meV per atom
**Energy relative to the elements, uncorrected**: -2.408 eV per atom

Cell: 6.938 9.944 11.978 Å, 90.00 90.00 90.76°
Element x y z (fractional)
Ba 0.979 0.790 0.959
Cl 0.750 0.525 0.968
Cl 0.257 0.539 0.017
Cl 0.745 0.100 0.279
Cl 0.263 0.129 0.259
Cl 0.962 0.404 0.242
Ba 0.021 0.210 0.459
Cl 0.038 0.596 0.742
Cl 0.431 0.123 0.562
Cl 0.589 0.625 0.261
La 0.473 0.896 0.284
Cl 0.737 0.871 0.759
Cl 0.411 0.375 0.761
Cl 0.569 0.877 0.062
Cl 0.097 0.795 0.205
Cl 0.255 0.900 0.779
Ba 0.457 0.659 0.647
La 0.047 0.373 0.879
Cl 0.221 0.822 0.470
Cl 0.779 0.178 0.970
Ba 0.543 0.341 0.147
Cl 0.250 0.475 0.468
La 0.953 0.627 0.379
Cl 0.720 0.832 0.469
Cl 0.743 0.461 0.517
Cl 0.280 0.168 0.969
Cl 0.903 0.205 0.705
La 0.527 0.104 0.784



Entry 4:
Below is a geometry-optimized ZrSbNF2 structure, with properties calculated at the GGA-PBEsol level.

Results
**Final energy**: -27.7 eV for the cell shown
**Energy relative to the elements, uncorrected**: -0.325 eV per atom

Cell: 4.302 4.302 4.378 Å, 90.00 90.00 90.00°
Each line ends with the local moment (μB).
Element x y z (fractional)
F 0.000 0.500 0.000  0.04
N 0.000 0.000 0.500  -0.05
Zr 0.500 0.500 0.500  1.39
F 0.500 0.000 0.000  0.04
Sb 0.000 0.000 0.000  0.02



Entry 5:
Below is a geometry-optimized Li3CaPb structure, with properties calculated at the GGA-PBEsol level.

Results
**DFT formation energy**: -0.0824 eV per atom
**Final energy**: -12.4 eV for the cell shown

Cell: 5.119 5.119 5.119 Å, 90.00 90.00 90.00°
Element x y z (fractional)
Li 0.500 0.000 0.000
Li 0.000 0.000 0.500
Li 0.000 0.500 0.000
Ca 0.500 0.500 0.500
Pb 0.000 0.000 0.000



Entry 6:
Below is a geometry-optimized LaPAu structure, with properties calculated at the GGA-PBEsol level.

Results
**DFT formation energy**: -1.0558 eV per atom
**Final energy**: -18.2 eV for the cell shown

Cell: 4.155 4.241 4.241 Å, 120.00 90.00 90.00°
Element x y z (fractional)
Au 0.167 0.000 0.000
P 0.167 0.667 0.333
La 0.667 0.333 0.667



Entry 7:
Below is a geometry-optimized Mg2CuSe structure, with properties calculated at the GGA-PBEsol level.

Results
**Final energy**: -27.0 eV for the cell shown
**Energy relative to the elements, uncorrected**: -0.473 eV per atom

Cell: 3.595 6.343 6.594 Å, 90.00 105.82 90.00°
Element x y z (fractional)
Cu 0.001 0.250 0.003
Se 0.207 0.250 0.414
Se 0.793 0.750 0.586
Mg 0.615 0.989 0.231
Mg 0.385 0.489 0.769
Mg 0.385 0.011 0.769
Mg 0.615 0.511 0.231
Cu 0.999 0.750 0.997



Entry 8:
Below is a geometry-optimized Sb2TeW structure, with properties calculated at the GGA-PBEsol level.

Results
**Final energy**: -23.6 eV for the cell shown
**Energy relative to the elements, uncorrected**: 0.706 eV per atom

Cell: 4.947 4.947 4.947 Å, 60.00 60.00 60.00°
Element x y z (fractional)
W 0.750 0.750 0.750
Te 0.500 0.500 0.500
Sb 0.000 0.000 0.000
Sb 0.250 0.250 0.250



These records have Fermi-level density of states values of 0.97, 0.80, 0.00, 0.99, 0.34, 0.80, 0.21, 0.66 states/eV/atom, in the order they appear.